CaTbAgAu: optimized geometry, PBE.

Results
* SG: F-43m
* electronic total energy: -3.753 eV per atom

Structure (extended XYZ):
```
4
Lattice="-2.601 4.400 0.514 -4.260 0.146 2.867 0.014 2.481 4.498" Properties=species:S:1:pos:R:3 pbc="T T T"
Au -3.423 3.514 3.940
Tb -1.712 1.757 1.970
Ag 0.000 0.000 0.000
Ca -5.135 5.271 5.910
```